Compound: SrMnIr
Source: the Alexandria database
Functional: PBE-GGA
Structure: relaxed

Computed properties:
The formation energy from the elements comes out at -0.02 eV per atom.

Unit cell a=4.228 b=4.227 c=8.264 alpha=104.82 beta=104.82 gamma=90.00
Positions (direct):
Mn (0.976, 0.391, 0.802)
Mn (0.476, 0.891, 0.802)
Ir (0.379, 0.294, 0.607)
Ir (0.573, 0.489, 0.997)
Sr (0.146, 0.061, 0.143)
Sr (0.806, 0.721, 0.462)


Compound: SrMnIr
Source: the Alexandria database
Functional: PBE-GGA
Structure: relaxed

Computed properties:
The formation energy from the elements comes out at 0.23 eV per atom.

Unit cell a=4.019 b=6.169 c=6.099 alpha=98.48 beta=90.09 gamma=109.02
Positions (direct):
Sr (0.308, 0.703, 0.717)
Ir (0.182, 0.454, 0.174)
Mn (0.579, 0.244, 0.628)
Sr (0.928, 0.944, 0.261)
Ir (0.054, 0.193, 0.804)
Mn (0.657, 0.402, 0.349)


Compound: SrMnIr
Source: the Alexandria database
Functional: PBE-GGA
Structure: relaxed

Computed properties:
The formation energy from the elements comes out at 0.07 eV per atom.

Unit cell a=3.835 b=6.140 c=6.371 alpha=73.13 beta=107.51 gamma=108.19
Positions (direct):
Sr (0.697, 0.694, 0.608)
Mn (0.872, 0.421, 0.233)
Sr (0.540, 0.952, 0.036)
Mn (0.364, 0.226, 0.411)
Ir (0.993, 0.253, 0.641)
Ir (0.244, 0.394, 0.003)